Density functional theory data (GGA-PBE) for Tb7Ho12Er after structural relaxation.

Summary:
The calculation puts the density of states at the Fermi level at 17.6 states/eV/cell. As for the symmetry: R-3 (148). The energy of formation comes out at 0.2959 eV/atom.

abc: 8.623 8.623 8.623
angles: 94.98 94.98 94.98
Atoms (fractional coordinates):
1 Ho 0.687 0.815 0.250
2 Ho 0.313 0.185 0.750
3 Ho 0.250 0.687 0.815
4 Ho 0.750 0.313 0.185
5 Tb 0.978 0.915 0.646
6 Tb 0.085 0.354 0.022
7 Ho 0.482 0.148 0.417
8 Ho 0.148 0.417 0.482
9 Ho 0.815 0.250 0.687
10 Tb 0.915 0.646 0.978
11 Tb 0.646 0.978 0.915
12 Ho 0.852 0.583 0.518
13 Tb 0.500 0.500 0.500
14 Ho 0.185 0.750 0.313
15 Ho 0.417 0.482 0.148
16 Ho 0.583 0.518 0.852
17 Er 0.000 0.000 0.000
18 Tb 0.022 0.085 0.354
19 Ho 0.518 0.852 0.583
20 Tb 0.354 0.022 0.085